# 1
# PBE-GGA BaMoP4, relaxed
# Crystal system: cubic
# Space-group type: F-43m
# Magnetic moment: 4.07 μB per cell
data_BaMoP4
_symmetry_space_group_name_H-M 'P 1'
_symmetry_Int_Tables_number 1
_symmetry_space_group_name_Hall 'P 1'
_cell_length_a 5.642
_cell_length_b 5.642
_cell_length_c 5.642
_cell_angle_alpha 60.00
_cell_angle_beta 60.00
_cell_angle_gamma 60.00
loop_
_atom_site_label
_atom_site_type_symbol
_atom_site_fract_x
_atom_site_fract_y
_atom_site_fract_z
Ba1 Ba 0.750 0.750 0.750
P1 P 0.937 0.354 0.354
P2 P 0.354 0.937 0.354
P3 P 0.354 0.354 0.937
P4 P 0.354 0.354 0.354
Mo1 Mo 0.000 0.000 0.000

---

# 2
# PBE-GGA BaMo2P, relaxed
# Crystal system: tetragonal
# Space-group type: I-42d
# Magnetic moment: 0.00 μB per cell
data_BaMo2P
_symmetry_space_group_name_H-M 'P 1'
_symmetry_Int_Tables_number 1
_symmetry_space_group_name_Hall 'P 1'
_cell_length_a 4.831
_cell_length_b 4.831
_cell_length_c 9.436
_cell_angle_alpha 75.17
_cell_angle_beta 75.17
_cell_angle_gamma 90.00
loop_
_atom_site_label
_atom_site_type_symbol
_atom_site_fract_x
_atom_site_fract_y
_atom_site_fract_z
Ba1 Ba 0.750 0.250 0.500
Ba2 Ba 0.000 0.000 0.000
Mo1 Mo 0.409 0.625 0.250
Mo2 Mo 0.375 0.659 0.750
Mo3 Mo 0.341 0.125 0.250
Mo4 Mo 0.875 0.591 0.750
P1 P 0.250 0.750 0.500
P2 P 0.500 0.500 0.000

---

# 3
# PBE-GGA BaMoP2, relaxed
# Crystal system: orthorhombic
# Space-group type: Immm
# Magnetic moment: 0.99 μB per cell
data_BaMoP2
_symmetry_space_group_name_H-M 'P 1'
_symmetry_Int_Tables_number 1
_symmetry_space_group_name_Hall 'P 1'
_cell_length_a 5.343
_cell_length_b 5.343
_cell_length_c 5.343
_cell_angle_alpha 132.78
_cell_angle_beta 106.93
_cell_angle_gamma 91.69
loop_
_atom_site_label
_atom_site_type_symbol
_atom_site_fract_x
_atom_site_fract_y
_atom_site_fract_z
P1 P 0.402 0.402 0.000
P2 P 0.098 0.098 0.000
Mo1 Mo 0.250 0.750 0.500
Ba1 Ba 0.750 0.250 0.500

---

# 4
# PBE-GGA BaMo2P, relaxed
# Crystal system: orthorhombic
# Space-group type: Cmmm
# Magnetic moment: 0.00 μB per cell
data_BaMo2P
_symmetry_space_group_name_H-M 'P 1'
_symmetry_Int_Tables_number 1
_symmetry_space_group_name_Hall 'P 1'
_cell_length_a 3.114
_cell_length_b 3.114
_cell_length_c 8.943
_cell_angle_alpha 90.00
_cell_angle_beta 90.00
_cell_angle_gamma 110.55
loop_
_atom_site_label
_atom_site_type_symbol
_atom_site_fract_x
_atom_site_fract_y
_atom_site_fract_z
Mo1 Mo 0.000 0.000 0.672
Mo2 Mo 0.000 0.000 0.328
P1 P 0.500 0.500 0.500
Ba1 Ba 0.500 0.500 0.000

---

# 5
# PBE-GGA BaMo2P, relaxed
# Crystal system: tetragonal
# Space-group type: P4mm
# Magnetic moment: 0.42 μB per cell
data_BaMo2P
_symmetry_space_group_name_H-M 'P 1'
_symmetry_Int_Tables_number 1
_symmetry_space_group_name_Hall 'P 1'
_cell_length_a 3.328
_cell_length_b 3.328
_cell_length_c 7.587
_cell_angle_alpha 90.00
_cell_angle_beta 90.00
_cell_angle_gamma 90.00
loop_
_atom_site_label
_atom_site_type_symbol
_atom_site_fract_x
_atom_site_fract_y
_atom_site_fract_z
Ba1 Ba 0.500 0.500 0.737
Mo1 Mo 0.000 0.000 0.087
Mo2 Mo 0.500 0.500 0.256
P1 P 0.000 0.000 0.420

---

# 6
# PBE-GGA BaMoP2, relaxed
# Crystal system: tetragonal
# Space-group type: I-4m2
# Magnetic moment: 2.79 μB per cell
data_BaMoP2
_symmetry_space_group_name_H-M 'P 1'
_symmetry_Int_Tables_number 1
_symmetry_space_group_name_Hall 'P 1'
_cell_length_a 5.995
_cell_length_b 5.995
_cell_length_c 5.995
_cell_angle_alpha 138.89
_cell_angle_beta 138.89
_cell_angle_gamma 59.54
loop_
_atom_site_label
_atom_site_type_symbol
_atom_site_fract_x
_atom_site_fract_y
_atom_site_fract_z
P1 P 0.250 0.750 0.500
P2 P 0.000 0.000 0.000
Ba1 Ba 0.500 0.500 0.000
Mo1 Mo 0.750 0.250 0.500

---

# 7
# PBE-GGA BaMo2P, relaxed
# Crystal system: monoclinic
# Space-group type: C2/m
# Magnetic moment: 0.00 μB per cell
data_BaMo2P
_symmetry_space_group_name_H-M 'P 1'
_symmetry_Int_Tables_number 1
_symmetry_space_group_name_Hall 'P 1'
_cell_length_a 5.623
_cell_length_b 5.623
_cell_length_c 3.629
_cell_angle_alpha 70.78
_cell_angle_beta 70.78
_cell_angle_gamma 115.74
loop_
_atom_site_label
_atom_site_type_symbol
_atom_site_fract_x
_atom_site_fract_y
_atom_site_fract_z
Mo1 Mo 0.500 0.000 0.000
Mo2 Mo 0.000 0.500 0.000
Ba1 Ba 0.500 0.500 0.000
P1 P 0.000 0.000 0.000

---

# 8
# PBE-GGA BaMo2P, relaxed
# Crystal system: orthorhombic
# Space-group type: Imm2
# Magnetic moment: 0.00 μB per cell
data_BaMo2P
_symmetry_space_group_name_H-M 'P 1'
_symmetry_Int_Tables_number 1
_symmetry_space_group_name_Hall 'P 1'
_cell_length_a 5.879
_cell_length_b 5.879
_cell_length_c 5.879
_cell_angle_alpha 148.08
_cell_angle_beta 118.16
_cell_angle_gamma 71.29
loop_
_atom_site_label
_atom_site_type_symbol
_atom_site_fract_x
_atom_site_fract_y
_atom_site_fract_z
Ba1 Ba 0.261 0.761 0.500
P1 P 0.546 0.546 0.000
Mo1 Mo 0.942 0.942 0.000
Mo2 Mo 0.752 0.252 0.500

---

# 9
# PBE-GGA BaMo2P, relaxed
# Crystal system: orthorhombic
# Space-group type: Immm
# Magnetic moment: 0.00 μB per cell
data_BaMo2P
_symmetry_space_group_name_H-M 'P 1'
_symmetry_Int_Tables_number 1
_symmetry_space_group_name_Hall 'P 1'
_cell_length_a 5.584
_cell_length_b 5.584
_cell_length_c 5.584
_cell_angle_alpha 145.12
_cell_angle_beta 119.33
_cell_angle_gamma 71.93
loop_
_atom_site_label
_atom_site_type_symbol
_atom_site_fract_x
_atom_site_fract_y
_atom_site_fract_z
P1 P 0.000 0.500 0.500
Mo1 Mo 0.183 0.183 0.000
Mo2 Mo 0.817 0.817 0.000
Ba1 Ba 0.500 0.000 0.500

---

# 10
# PBE-GGA BaMoP2, relaxed
# Crystal system: monoclinic
# Space-group type: C2/m
# Magnetic moment: 2.48 μB per cell
data_BaMoP2
_symmetry_space_group_name_H-M 'P 1'
_symmetry_Int_Tables_number 1
_symmetry_space_group_name_Hall 'P 1'
_cell_length_a 8.038
_cell_length_b 5.263
_cell_length_c 3.101
_cell_angle_alpha 89.67
_cell_angle_beta 67.77
_cell_angle_gamma 130.71
loop_
_atom_site_label
_atom_site_type_symbol
_atom_site_fract_x
_atom_site_fract_y
_atom_site_fract_z
P1 P 0.500 0.000 0.500
P2 P 0.000 0.000 0.000
Ba1 Ba 0.000 0.500 0.500
Mo1 Mo 0.500 0.500 0.000

---

# 11
# PBE-GGA BaMoP, relaxed
# Crystal system: cubic
# Space-group type: F-43m
# Magnetic moment: 4.63 μB per cell
data_BaMoP
_symmetry_space_group_name_H-M 'P 1'
_symmetry_Int_Tables_number 1
_symmetry_space_group_name_Hall 'P 1'
_cell_length_a 4.972
_cell_length_b 4.972
_cell_length_c 4.972
_cell_angle_alpha 60.00
_cell_angle_beta 60.00
_cell_angle_gamma 60.00
loop_
_atom_site_label
_atom_site_type_symbol
_atom_site_fract_x
_atom_site_fract_y
_atom_site_fract_z
Ba1 Ba 0.500 0.500 0.500
P1 P 0.000 0.000 0.000
Mo1 Mo 0.250 0.250 0.250

---

# 12
# PBE-GGA Ba2MoP2, relaxed
# Crystal system: tetragonal
# Space-group type: I4/mmm
# Magnetic moment: 2.15 μB per cell
data_Ba2MoP2
_symmetry_space_group_name_H-M 'P 1'
_symmetry_Int_Tables_number 1
_symmetry_space_group_name_Hall 'P 1'
_cell_length_a 5.785
_cell_length_b 5.785
_cell_length_c 5.785
_cell_angle_alpha 111.12
_cell_angle_beta 111.12
_cell_angle_gamma 106.22
loop_
_atom_site_label
_atom_site_type_symbol
_atom_site_fract_x
_atom_site_fract_y
_atom_site_fract_z
P1 P 0.338 0.338 0.000
P2 P 0.662 0.662 0.000
Ba1 Ba 0.750 0.250 0.500
Ba2 Ba 0.250 0.750 0.500
Mo1 Mo 0.000 0.000 0.000

---

# 13
# PBE-GGA BaMo3P, relaxed
# Crystal system: cubic
# Space-group type: Pm-3m
# Magnetic moment: 2.69 μB per cell
data_BaMo3P
_symmetry_space_group_name_H-M 'P 1'
_symmetry_Int_Tables_number 1
_symmetry_space_group_name_Hall 'P 1'
_cell_length_a 4.988
_cell_length_b 4.988
_cell_length_c 4.988
_cell_angle_alpha 90.00
_cell_angle_beta 90.00
_cell_angle_gamma 90.00
loop_
_atom_site_label
_atom_site_type_symbol
_atom_site_fract_x
_atom_site_fract_y
_atom_site_fract_z
Mo1 Mo 0.500 0.000 0.000
Mo2 Mo 0.000 0.500 0.000
Mo3 Mo 0.000 0.000 0.500
P1 P 0.500 0.500 0.500
Ba1 Ba 0.000 0.000 0.000

---

# 14
# PBE-GGA BaMoP2, relaxed
# Crystal system: orthorhombic
# Space-group type: Amm2
# Magnetic moment: 0.00 μB per cell
data_BaMoP2
_symmetry_space_group_name_H-M 'P 1'
_symmetry_Int_Tables_number 1
_symmetry_space_group_name_Hall 'P 1'
_cell_length_a 4.220
_cell_length_b 3.801
_cell_length_c 6.933
_cell_angle_alpha 74.08
_cell_angle_beta 90.00
_cell_angle_gamma 90.00
loop_
_atom_site_label
_atom_site_type_symbol
_atom_site_fract_x
_atom_site_fract_y
_atom_site_fract_z
P1 P 0.000 0.890 0.845
P2 P 0.500 0.209 0.206
Mo1 Mo 0.500 0.816 0.994
Ba1 Ba 0.000 0.585 0.455

---

| no. | Fermi-level density of states (states/eV per atom) | calculated formation energy (eV/atom) |
| --- | --- | --- |
| 1 | 0.4523 | 0.5229 |
| 2 | 1.0530 | 0.4572 |
| 3 | 0.9468 | -0.1218 |
| 4 | 1.1853 | 0.6014 |
| 5 | 0.8382 | 0.1509 |
| 6 | 0.6380 | 0.6475 |
| 7 | 0.9877 | 1.0154 |
| 8 | 0.9307 | 0.7532 |
| 9 | 1.0562 | 0.6219 |
| 10 | 0.8337 | 0.4813 |
| 11 | 0.8031 | 0.8654 |
| 12 | 1.1399 | 0.0836 |
| 13 | 1.6755 | 3.3262 |
| 14 | 0.9149 | -0.3608 |